{
  "formula": "La2PtAu2",
  "functional": "GGA-PBE",
  "state": "relaxed",
  "e_tot_ev_per_cell": -52.78,
  "formation_enthalpy_0k_ev_per_atom": -0.7881,
  "magmom_total_mub_per_cell": 0.0,
  "spacegroup": "P4/mbm, No. 127",
  "lattice_angstrom": [[-6.568, 3.281, -2.618], [-2.607, -6.999, -2.231], [-1.735, -0.530, 3.689]],
  "species": ["Au", "Au", "Au", "Au", "Pt", "Pt", "La", "La", "La", "La"],
  "fractional_positions": [[0.372, 0.872, 0.000], [0.872, 0.628, 0.000], [0.628, 0.128, 0.000], [0.128, 0.372, 0.000], [0.000, 0.000, 0.000], [0.500, 0.500, 0.000], [0.177, 0.677, 0.500], [0.677, 0.823, 0.500], [0.823, 0.323, 0.500], [0.323, 0.177, 0.500]]
}